This record from the Alexandria database describes a relaxed Mg2Tl2Pd crystal. The functional is PBE-GGA.

Unit cell a=7.0741 b=7.0741 c=4.6080 alpha=90.00 beta=90.00 gamma=90.00
Space group P4/mbm (No. 127)
Asymmetric unit:
Mg1 0.1547 0.3453 0.0000 (multiplicity 4)
Tl1 0.1646 0.6646 0.5000 (multiplicity 4)
Pd1 0.0000 0.0000 0.0000 (multiplicity 2)

Energy above the most stable polymorph in this dataset, meV/atom: 0
ΔE_f, eV/atom: -0.069
Electronic total energy, eV/atom: -2.692
Total magnetic moment, μB/cell: 0.0

=====

This record from the Alexandria database describes a relaxed Mg8TlPd2 crystal. The functional is PBE-GGA.

Unit cell a=4.5256 b=7.0748 c=7.9964 alpha=112.47 beta=106.25 gamma=90.25
Space group P1 (No. 1)
Asymmetric unit:
Mg1 0.0000 0.0000 0.0000 (multiplicity 1)
Mg2 0.0634 0.4674 0.1279 (multiplicity 1)
Mg3 0.2107 0.9990 0.4221 (multiplicity 1)
Mg4 0.3522 0.8030 0.7041 (multiplicity 1)
Mg5 0.4200 0.2661 0.8405 (multiplicity 1)
Mg6 0.6435 0.2010 0.2872 (multiplicity 1)
Mg7 0.7120 0.6639 0.4234 (multiplicity 1)
Mg8 0.8539 0.4679 0.7057 (multiplicity 1)
Tl1 0.5311 0.7334 0.0636 (multiplicity 1)
Pd1 0.2244 0.4028 0.4490 (multiplicity 1)
Pd2 0.8390 0.0640 0.6786 (multiplicity 1)

Energy above the most stable polymorph in this dataset, meV/atom: 0
ΔE_f, eV/atom: -0.313
Electronic total energy, eV/atom: -2.632
Total magnetic moment, μB/cell: 0.0

=====

This record from the Alexandria database describes a relaxed MgTlPd2 crystal. The functional is PBE-GGA.

Unit cell a=4.2686 b=4.2686 c=14.9263 alpha=90.00 beta=90.00 gamma=120.00
Space group R3m (No. 160, hexagonal axes)
Asymmetric unit:
Mg1 0.0000 0.0000 0.0000 (multiplicity 3)
Tl1 0.0000 0.0000 0.1902 (multiplicity 3)
Pd1 0.0000 0.0000 0.4097 (multiplicity 3)
Pd2 0.0000 0.0000 0.6181 (multiplicity 3)

ΔE_f, eV/atom: -0.260
Electronic total energy, eV/atom: -3.846
Total magnetic moment, μB/cell: 0.0

=====

This record from the Alexandria database describes a relaxed Mg6TlPd crystal. The functional is PBE-GGA.

Unit cell a=4.6050 b=4.6050 c=16.0753 alpha=90.00 beta=90.00 gamma=90.00
Space group I4/mmm (No. 139)
Asymmetric unit:
Mg1 0.0000 0.0000 0.2495 (multiplicity 4)
Mg2 0.0000 0.5000 0.1124 (multiplicity 8)
Tl1 0.0000 0.0000 0.5000 (multiplicity 2)
Pd1 0.0000 0.0000 0.0000 (multiplicity 2)

Energy above the most stable polymorph in this dataset, meV/atom: 44
ΔE_f, eV/atom: -0.151
Electronic total energy, eV/atom: -2.292
Total magnetic moment, μB/cell: 0.0

=====

This record from the Alexandria database describes a relaxed Mg4TlPd5 crystal. The functional is PBE-GGA.

Unit cell a=3.2239 b=3.2239 c=16.1693 alpha=90.00 beta=90.00 gamma=90.00
Space group P4/mmm (No. 123)
Asymmetric unit:
Mg1 0.0000 0.0000 0.0962 (multiplicity 2)
Mg2 0.0000 0.0000 0.2891 (multiplicity 2)
Tl1 0.0000 0.0000 0.5000 (multiplicity 1)
Pd1 0.5000 0.5000 0.0000 (multiplicity 1)
Pd2 0.5000 0.5000 0.1915 (multiplicity 2)
Pd3 0.5000 0.5000 0.3836 (multiplicity 2)

ΔE_f, eV/atom: -0.607
Electronic total energy, eV/atom: -4.078
Total magnetic moment, μB/cell: 0.0

=====

This record from the Alexandria database describes a relaxed Mg6TlPd2 crystal. The functional is PBE-GGA.

Unit cell a=10.2972 b=3.4319 c=10.8129 alpha=90.00 beta=97.51 gamma=90.00
Space group C2/m (No. 12)
Asymmetric unit:
Mg1 0.0206 0.0000 0.2964 (multiplicity 4)
Mg2 0.1447 0.5000 0.5389 (multiplicity 4)
Mg3 0.2091 0.5000 0.8701 (multiplicity 4)
Tl1 0.0000 0.0000 0.0000 (multiplicity 2)
Pd1 0.2268 0.5000 0.3008 (multiplicity 4)

Energy above the most stable polymorph in this dataset, meV/atom: 26
ΔE_f, eV/atom: -0.324
Electronic total energy, eV/atom: -2.804
Total magnetic moment, μB/cell: 0.0

=====

Question: Number 2 is which compound?
Answer: Mg8TlPd2

=====

Question: Which of these has the lowest ΔE_f?
Answer: Mg4TlPd5